VASP calculation (PBE) on a geometry-optimized InAu4 structure.

The structure in extended XYZ format:
```
10
Lattice="4.121 0.000 -1.204 -0.650 5.350 -2.227 0.232 0.368 8.449" Properties=species:S:1:pos:R:3 pbc="T T T"
Au 0.208 1.911 0.712
Au 3.494 3.806 4.306
Au 1.213 1.920 4.152
Au 2.489 3.798 0.867
Au 0.896 4.521 3.069
Au 2.806 1.197 1.950
Au 2.060 0.000 -0.602
In -0.056 4.680 -0.192
In 3.758 1.037 5.210
Au 1.735 2.675 -1.715
```

**E_form**: -0.07 eV per atom
**Space group**: Imma, No. 74